(1)
First-principles (meta-GGA SCAN) data for a crystal of BaAs2F relaxed with PBEsol, as listed in Alexandria via LeMat-Bulk.

Output
V	182.4	Å³ per cell
crystal system	tetragonal
energy	-22.542	eV per atom
space-group type	No. 122
raw formation energy	-1.674	eV/atom

Cell: 12.930 12.930 12.930 Å, 163.11 163.11 23.97°
Fractional positions:
Ba  0.000  0.000  0.000
Ba  0.750  0.250  0.500
As  0.164  0.625  0.039
As  0.375  0.414  0.539
As  0.586  0.125  0.961
As  0.875  0.836  0.461
F  0.250  0.750  0.500
F  0.500  0.500  0.000

(2)
First-principles (meta-GGA SCAN) data for a crystal of BaAsN2F relaxed with PBEsol, as listed in Alexandria via LeMat-Bulk.

Output
V	136.3	Å³ per cell
crystal system	tetragonal
energy	-15.615	eV per atom
space-group type	No. 123
raw formation energy	0.758	eV/atom

Cell: 5.330 5.330 4.800 Å, 90.00 90.00 90.00°
Fractional positions:
Ba  0.000  0.000  0.000
As  0.500  0.500  0.500
N  0.000  0.500  0.000
N  0.500  0.000  0.000
F  0.000  0.000  0.500

(3)
First-principles (meta-GGA SCAN) data for a crystal of BaFe2As2 relaxed with PBEsol, as listed in Alexandria via LeMat-Bulk.

Output
V	94.7	Å³ per cell
crystal system	tetragonal
energy	-23.720	eV per atom
calculated formation energy	-11.119	kcal/mol of atoms
space-group type	No. 139

Cell: 6.775 6.775 6.775 Å, 146.43 146.43 48.21°
Fractional positions:
Ba  0.000  0.000  0.000
Fe  0.250  0.750  0.500
Fe  0.750  0.250  0.500
As  0.346  0.346  0.000
As  0.654  0.654  0.000

(4)
First-principles (meta-GGA SCAN) data for a crystal of KBa4Fe10As10 relaxed with PBEsol, as listed in Alexandria via LeMat-Bulk.

Output
V	472.2	Å³ per cell
crystal system	tetragonal
energy	-22.483	eV per atom
calculated formation energy	-11.390	kcal/mol of atoms
space-group type	No. 87

Cell: 8.771 8.771 8.771 Å, 120.67 120.67 88.84°
Fractional positions:
K  0.000  0.000  0.000
Ba  0.198  0.606  0.803
Ba  0.394  0.198  0.592
Ba  0.606  0.802  0.408
Ba  0.802  0.394  0.197
Fe  0.051  0.151  0.700
Fe  0.151  0.451  0.100
Fe  0.250  0.750  0.500
Fe  0.351  0.051  0.900
Fe  0.451  0.351  0.300
Fe  0.549  0.649  0.700
Fe  0.649  0.949  0.100
Fe  0.750  0.250  0.500
Fe  0.849  0.549  0.900
Fe  0.949  0.849  0.300
As  0.054  0.854  0.601
As  0.146  0.747  0.200
As  0.253  0.453  0.399
As  0.347  0.347  0.000
As  0.453  0.054  0.200
As  0.547  0.946  0.800
As  0.653  0.653  0.000
As  0.747  0.547  0.601
As  0.854  0.253  0.800
As  0.946  0.146  0.399

(5)
First-principles (meta-GGA SCAN) data for a crystal of Ba4NaFe10As10 relaxed with PBEsol, as listed in Alexandria via LeMat-Bulk.

Output
V	466.8	Å³ per cell
crystal system	tetragonal
energy	-22.240	eV per atom
calculated formation energy	-9.587	kcal/mol of atoms
space-group type	No. 87

Cell: 8.719 8.719 8.719 Å, 120.26 120.26 89.56°
Fractional positions:
Ba  0.107  0.302  0.409
Ba  0.302  0.893  0.196
Ba  0.698  0.107  0.804
Ba  0.893  0.698  0.591
Na  0.500  0.500  0.000
Fe  0.050  0.149  0.700
Fe  0.149  0.450  0.100
Fe  0.250  0.750  0.500
Fe  0.350  0.050  0.900
Fe  0.450  0.350  0.300
Fe  0.550  0.650  0.700
Fe  0.650  0.950  0.100
Fe  0.750  0.250  0.500
Fe  0.851  0.550  0.900
Fe  0.950  0.851  0.300
As  0.048  0.447  0.800
As  0.152  0.152  0.000
As  0.248  0.048  0.601
As  0.353  0.752  0.800
As  0.447  0.647  0.399
As  0.553  0.353  0.601
As  0.647  0.248  0.200
As  0.752  0.952  0.399
As  0.848  0.848  0.000
As  0.952  0.553  0.200

(6)
First-principles (meta-GGA SCAN) data for a crystal of Ba2ScFeAsO3 relaxed with PBEsol, as listed in Alexandria via LeMat-Bulk.

Output
V	276.1	Å³ per cell
crystal system	tetragonal
energy	-21.244	eV per atom
space-group type	No. 129
raw formation energy	-2.450	eV/atom

Cell: 4.082 4.082 16.571 Å, 90.00 90.00 90.00°
Fractional positions:
Ba  0.250  0.250  0.087
Ba  0.250  0.250  0.320
Ba  0.750  0.750  0.680
Ba  0.750  0.750  0.913
Sc  0.250  0.250  0.807
Sc  0.750  0.750  0.193
Fe  0.250  0.750  0.500
Fe  0.750  0.250  0.500
As  0.250  0.250  0.568
As  0.750  0.750  0.432
O  0.250  0.250  0.927
O  0.250  0.750  0.214
O  0.250  0.750  0.786
O  0.750  0.250  0.214
O  0.750  0.250  0.786
O  0.750  0.750  0.073

(7)
First-principles (meta-GGA SCAN) data for a crystal of Ba7Ga4As9 relaxed with PBEsol, as listed in Alexandria via LeMat-Bulk.

Output
V	1162.0	Å³ per cell
crystal system	orthorhombic
energy	-27.227	eV per atom
calculated formation energy	-23.748	kcal/mol of atoms
space-group type	No. 59

Cell: 10.154 16.967 6.745 Å, 90.00 90.00 90.00°
Fractional positions:
Ba  0.026  0.125  0.055
Ba  0.026  0.375  0.055
Ba  0.250  0.034  0.547
Ba  0.250  0.466  0.547
Ba  0.250  0.750  0.591
Ba  0.474  0.125  0.055
Ba  0.474  0.375  0.055
Ba  0.526  0.625  0.945
Ba  0.526  0.875  0.945
Ba  0.750  0.250  0.409
Ba  0.750  0.534  0.453
Ba  0.750  0.966  0.453
Ba  0.974  0.625  0.945
Ba  0.974  0.875  0.945
Ga  0.074  0.250  0.569
Ga  0.250  0.625  0.235
Ga  0.250  0.875  0.235
Ga  0.426  0.250  0.569
Ga  0.574  0.750  0.431
Ga  0.750  0.125  0.765
Ga  0.750  0.375  0.765
Ga  0.926  0.750  0.431
As  0.040  0.620  0.442
As  0.040  0.880  0.442
As  0.250  0.250  0.299
As  0.250  0.250  0.839
As  0.250  0.511  0.018
As  0.250  0.750  0.046
As  0.250  0.989  0.018
As  0.460  0.620  0.442
As  0.460  0.880  0.442
As  0.540  0.120  0.558
As  0.540  0.380  0.558
As  0.750  0.011  0.982
As  0.750  0.250  0.954
As  0.750  0.489  0.982
As  0.750  0.750  0.161
As  0.750  0.750  0.701
As  0.960  0.120  0.558
As  0.960  0.380  0.558

(8)
First-principles (meta-GGA SCAN) data for a crystal of BaGaAs relaxed with PBEsol, as listed in Alexandria via LeMat-Bulk.

Output
V	166.9	Å³ per cell
crystal system	monoclinic
energy	-26.235	eV per atom
calculated formation energy	-20.112	kcal/mol of atoms
space-group type	No. 12

Cell: 6.601 6.601 8.788 Å, 130.03 130.03 36.31°
Fractional positions:
Ba  0.217  0.217  0.212
Ba  0.783  0.783  0.788
Ga  0.036  0.036  0.402
Ga  0.964  0.964  0.598
As  0.489  0.489  0.206
As  0.511  0.511  0.794

(9)
First-principles (meta-GGA SCAN) data for a crystal of Ba2GaAs relaxed with PBEsol, as listed in Alexandria via LeMat-Bulk.

Output
V	125.4	Å³ per cell
crystal system	cubic
energy	-29.521	eV per atom
calculated formation energy	-14.109	kcal/mol of atoms
space-group type	No. 225

Cell: 5.618 5.618 5.618 Å, 60.00 60.00 60.00°
Fractional positions:
Ba  0.250  0.250  0.250
Ba  0.750  0.750  0.750
Ga  0.000  0.000  0.000
As  0.500  0.500  0.500

(10)
First-principles (meta-GGA SCAN) data for a crystal of BaGaAs2Se relaxed with PBEsol, as listed in Alexandria via LeMat-Bulk.

Output
V	152.1	Å³ per cell
crystal system	tetragonal
energy	-23.179	eV per atom
space-group type	No. 123
raw formation energy	0.092	eV/atom

Cell: 5.105 5.105 5.837 Å, 90.00 90.00 90.00°
Fractional positions:
Ba  0.000  0.000  0.000
Ga  0.500  0.500  0.000
As  0.000  0.500  0.500
As  0.500  0.000  0.500
Se  0.000  0.000  0.500

(11)
First-principles (meta-GGA SCAN) data for a crystal of BaGeAs2 relaxed with PBEsol, as listed in Alexandria via LeMat-Bulk.

Output
V	221.4	Å³ per cell
crystal system	tetragonal
energy	-25.425	eV per atom
calculated formation energy	-15.467	kcal/mol of atoms
space-group type	No. 122

Cell: 6.606 6.606 6.606 Å, 111.09 111.09 106.28°
Fractional positions:
Ba  0.000  0.000  0.000
Ba  0.750  0.250  0.500
Ge  0.250  0.750  0.500
Ge  0.500  0.500  0.000
As  0.214  0.625  0.089
As  0.375  0.464  0.589
As  0.536  0.125  0.911
As  0.875  0.786  0.411

(12)
First-principles (meta-GGA SCAN) data for a crystal of Ba3GeAs relaxed with PBEsol, as listed in Alexandria via LeMat-Bulk.

Output
V	233.4	Å³ per cell
crystal system	cubic
energy	-32.071	eV per atom
calculated formation energy	-11.182	kcal/mol of atoms
space-group type	No. 221

Cell: 6.157 6.157 6.157 Å, 90.00 90.00 90.00°
Fractional positions:
Ba  0.000  0.000  0.500
Ba  0.000  0.500  0.000
Ba  0.500  0.000  0.000
Ge  0.500  0.500  0.500
As  0.000  0.000  0.000

(13)
First-principles (meta-GGA SCAN) data for a crystal of BaGeAsSe2 relaxed with PBEsol, as listed in Alexandria via LeMat-Bulk.

Output
V	188.9	Å³ per cell
crystal system	tetragonal
energy	-22.903	eV per atom
space-group type	No. 123
raw formation energy	0.894	eV/atom

Cell: 5.776 5.776 5.662 Å, 90.00 90.00 90.00°
Fractional positions:
Ba  0.000  0.000  0.000
Ge  0.500  0.500  0.500
As  0.000  0.000  0.500
Se  0.000  0.500  0.000
Se  0.500  0.000  0.000

(14)
First-principles (meta-GGA SCAN) data for a crystal of BaHgAs2H relaxed with PBEsol, as listed in Alexandria via LeMat-Bulk.

Output
V	144.3	Å³ per cell
crystal system	tetragonal
energy	-29.442	eV per atom
space-group type	No. 123

Cell: 5.880 5.880 4.174 Å, 90.00 90.00 90.00°
Fractional positions:
Ba  0.000  0.000  0.000
Hg  0.500  0.500  0.500
As  0.000  0.500  0.000
As  0.500  0.000  0.000
H  0.000  0.000  0.500

(15)
First-principles (meta-GGA SCAN) data for a crystal of Ba3As4H2O14 relaxed with PBEsol, as listed in Alexandria via LeMat-Bulk.

Output
V	695.4	Å³ per cell
crystal system	monoclinic
energy	-14.728	eV per atom
space-group type	No. 15

Cell: 7.331 7.331 14.430 Å, 103.55 103.55 69.28°
Fractional positions:
Ba  0.109  0.891  0.750
Ba  0.263  0.278  0.552
Ba  0.278  0.263  0.052
Ba  0.722  0.737  0.948
Ba  0.737  0.722  0.448
Ba  0.891  0.109  0.250
As  0.211  0.762  0.462
As  0.238  0.789  0.038
As  0.296  0.371  0.309
As  0.371  0.296  0.809
As  0.629  0.704  0.191
As  0.704  0.629  0.691
As  0.762  0.211  0.962
As  0.789  0.238  0.538
H  0.013  0.494  0.773
H  0.494  0.013  0.273
H  0.506  0.987  0.727
H  0.987  0.506  0.227
O  0.008  0.861  0.384
O  0.115  0.625  0.991
O  0.128  0.489  0.217
O  0.139  0.992  0.116
O  0.144  0.665  0.540
O  0.177  0.272  0.359
O  0.213  0.487  0.755
O  0.272  0.177  0.859
O  0.335  0.856  0.960
O  0.375  0.885  0.509
O  0.381  0.552  0.392
O  0.448  0.619  0.108
O  0.487  0.213  0.255
O  0.489  0.128  0.717
O  0.511  0.872  0.283
O  0.513  0.787  0.745
O  0.552  0.381  0.892
O  0.619  0.448  0.608
O  0.625  0.115  0.491
O  0.665  0.144  0.040
O  0.728  0.823  0.141
O  0.787  0.513  0.245
O  0.823  0.728  0.641
O  0.856  0.335  0.460
O  0.861  0.008  0.884
O  0.872  0.511  0.783
O  0.885  0.375  0.009
O  0.992  0.139  0.616